1.
Entry from Alexandria: an optimized crystal structure of K2SiMo (PBE-GGA).

Summary:
- ΔE_f (raw): 1106 meV/atom
- Electronic total energy: -3.506 eV/atom
- Space-group type: Pmmm, No. 47

POSCAR file:
```
K2SiMo
1.0
-2.2606 -0.7437 1.7226
2.8171 -4.8154 1.6179
2.2540 2.7047 4.1256
K Mo Si
2 1 1
Direct
0.0000 0.0000 0.9988 K
0.0000 0.0000 0.5012 K
0.5000 0.5000 0.2500 Mo
0.5000 0.5000 0.7500 Si
```


2.
Entry from Alexandria: an optimized crystal structure of K2SiMo (PBE-GGA).

Summary:
- ΔE_f (raw): 1116 meV/atom
- Electronic total energy: -3.496 eV/atom
- Space-group type: F-43m, No. 216

POSCAR file:
```
K2SiMo
1.0
5.3181 0.0000 0.0000
0.0009 5.3181 0.0000
-2.6595 -2.6590 3.7601
K Mo Si
2 1 1
Direct
0.0000 0.0000 0.0000 K
0.2500 0.7500 0.5000 K
0.5000 0.5000 0.0000 Mo
0.7500 0.2500 0.5000 Si
```


3.
Entry from Alexandria: an optimized crystal structure of K2SiMo (PBE-GGA).

Summary:
- ΔE_f (raw): 1104 meV/atom
- Electronic total energy: -3.508 eV/atom
- Space-group type: Cmmm, No. 65

POSCAR file:
```
K2SiMo
1.0
-1.4315 -4.4040 4.4277
3.7605 -0.4304 -5.1693
2.2959 0.8608 1.5985
K Mo Si
2 1 1
Direct
0.0000 0.0000 0.0000 K
0.5000 0.5000 0.0000 K
0.5000 0.0000 0.5000 Mo
0.0000 0.5000 0.5000 Si
```


4.
Entry from Alexandria: an optimized crystal structure of KSi3Mo (PBE-GGA).

Summary:
- ΔE_f (raw): 2573 meV/atom
- E above lowest polymorph: 2368.6 meV per atom
- Electronic total energy: -3.067 eV/atom
- Space-group type: Pm-3m, No. 221

POSCAR file:
```
KSi3Mo
1.0
5.0370 0.0000 0.0000
0.0000 5.0370 0.0000
0.0000 0.0000 5.0370
Mo Si K
1 3 1
Direct
0.5000 0.5000 0.5000 Mo
0.0000 0.5000 0.0000 Si
0.0000 0.0000 0.5000 Si
0.5000 0.0000 0.0000 Si
0.0000 0.0000 0.0000 K
```


5.
Entry from Alexandria: an optimized crystal structure of KSi3Mo (PBE-GGA).

Summary:
- ΔE_f (raw): 204 meV/atom
- E above lowest polymorph: 0.0 meV per atom
- Electronic total energy: -5.435 eV/atom
- Space-group type: Pm-3m, No. 221

POSCAR file:
```
KSi3Mo
1.0
-1.1972 4.4764 1.3196
-3.5942 -0.0154 -3.2085
-2.9768 -1.7817 3.3432
Mo Si K
1 3 1
Direct
0.0000 0.0000 0.0000 Mo
0.0000 0.5000 0.0000 Si
0.0000 0.0000 0.5000 Si
0.5000 0.0000 0.0000 Si
0.5000 0.5000 0.5000 K
```


6.
Entry from Alexandria: an optimized crystal structure of K2SiMo (PBE-GGA).

Summary:
- ΔE_f (raw): 1069 meV/atom
- Electronic total energy: -3.543 eV/atom
- Space-group type: P2/m, No. 10

POSCAR file:
```
K2SiMo
1.0
-1.1858 -3.5306 -4.6789
-0.7253 -2.1769 1.8265
-4.8206 1.1204 0.3763
K Mo Si
2 1 1
Direct
0.0000 0.9813 0.9950 K
0.0000 0.5187 0.5050 K
0.5000 0.2500 0.2500 Mo
0.5000 0.7500 0.7500 Si
```


7.
Entry from Alexandria: an optimized crystal structure of K2SiMo (PBE-GGA).

Summary:
- ΔE_f (raw): 1073 meV/atom
- Electronic total energy: -3.539 eV/atom
- Space-group type: C2/m, No. 12

POSCAR file:
```
K2SiMo
1.0
4.9986 -0.0024 -0.0098
-2.3131 6.1334 0.0024
0.3724 0.6849 2.8138
K Mo Si
2 1 1
Direct
0.0000 0.0000 0.0000 K
0.5000 0.0000 0.5000 K
0.0000 0.5000 0.5000 Mo
0.5000 0.5000 0.0000 Si
```


8.
Entry from Alexandria: an optimized crystal structure of K2SiMo (PBE-GGA).

Summary:
- ΔE_f (raw): 1046 meV/atom
- Electronic total energy: -3.567 eV/atom
- Space-group type: Pmmm, No. 47

POSCAR file:
```
K2SiMo
1.0
3.7172 0.0000 0.0000
0.0000 4.1506 0.0000
0.0000 0.0000 5.8225
K Mo Si
2 1 1
Direct
0.0000 0.0000 0.0000 K
0.5000 0.5000 0.0000 K
0.5000 0.0000 0.5000 Mo
0.0000 0.5000 0.5000 Si
```